Run w
{
  "formula": "CaFeIO2",
  "functional": "GGA+U",
  "state": "relaxed",
  "lattice_angstrom": [[-1.3871, 0.3075, 4.1551], [-1.7499, -4.0173, -0.2869], [5.3400, -2.4663, 1.9651]],
  "species": ["I", "Ca", "Fe", "O", "O"],
  "fractional_positions": [[0.0000, 0.0000, 0.5000], [0.0000, 0.0000, 0.0000], [0.5000, 0.5000, 0.5000], [0.0000, 0.5000, 0.0000], [0.5000, 0.0000, 0.0000]],
  "m_tot_mub_per_fu": 5.67,
  "volume_a3_per_cell": 120
}

***

Run x
{
  "formula": "CaFeIO2",
  "functional": "GGA+U",
  "state": "relaxed",
  "lattice_angstrom": [[4.1450, 0.0000, 0.0000], [0.0000, 4.1450, 0.0000], [0.0000, 0.0000, 5.3720]],
  "species": ["I", "Ca", "Fe", "O", "O"],
  "fractional_positions": [[0.0000, 0.0000, 0.5000], [0.5000, 0.5000, 0.5000], [0.0000, 0.0000, 0.0000], [0.0000, 0.5000, 0.0000], [0.5000, 0.0000, 0.0000]],
  "m_tot_mub_per_fu": 4.95,
  "volume_a3_per_cell": 92
}

***

What should be chosen as the least stable of them? Choose run w.